Entry 1:
A relaxed structure of Cd5P4, computed with PBE.

Unit cell a=8.3802 b=8.3802 c=6.6160 alpha=90.00 beta=90.00 gamma=120.00
Positions (direct):
Cd: 0.0000 0.2427 0.2500
Cd: 0.0000 0.7573 0.7500
Cd: 0.2427 0.0000 0.2500
Cd: 0.2427 0.2427 0.7500
Cd: 0.3333 0.6667 0.0000
Cd: 0.3333 0.6667 0.5000
Cd: 0.6667 0.3333 0.0000
Cd: 0.6667 0.3333 0.5000
Cd: 0.7573 0.0000 0.7500
Cd: 0.7573 0.7573 0.2500
P: 0.0000 0.0000 0.0000
P: 0.0000 0.0000 0.5000
P: 0.0000 0.4629 0.7500
P: 0.0000 0.5371 0.2500
P: 0.4629 0.0000 0.7500
P: 0.4629 0.4629 0.2500
P: 0.5371 0.0000 0.2500
P: 0.5371 0.5371 0.7500

Calculated values
DFT total energy	-2.67	eV/atom
E_form	23.75	kJ per mole of atoms
mass density	5.662	g/cm³

Entry 2:
A relaxed structure of Li2LaPmGe2, computed with PBE.

Unit cell a=4.5225 b=4.5225 c=7.6608 alpha=90.00 beta=90.00 gamma=120.00
Positions (direct):
Li: 0.3333 0.6667 0.2268
Li: 0.6667 0.3333 0.7732
La: 0.0000 0.0000 0.5000
Pm: 0.0000 0.0000 0.0000
Ge: 0.3333 0.6667 0.7594
Ge: 0.6667 0.3333 0.2406

Calculated values
DFT total energy	-4.46	eV/atom
E_form	-65.02	kJ per mole of atoms
mass density	5.422	g/cm³

Entry 3:
A relaxed structure of Dy4PSe3, computed with PBE.

Unit cell a=7.0564 b=7.0564 c=4.0360 alpha=90.00 beta=90.00 gamma=109.11
Positions (direct):
Dy: 0.2305 0.2305 0.5000
Dy: 0.2379 0.7621 0.0000
Dy: 0.7621 0.2379 0.0000
Dy: 0.7695 0.7695 0.5000
P: 0.0000 0.0000 0.0000
Se: 0.0000 0.5000 0.5000
Se: 0.5000 0.0000 0.5000
Se: 0.5000 0.5000 0.0000

Calculated values
DFT total energy	-6.07	eV/atom
mass density	8.027	g/cm³
formation energy (no corrections)	-1.79	eV per atom